Entry 1:
Below is a relaxed structure of PrCoSiC, with properties calculated at the PBE level.

**Formation energy from raw total energies**: -1.6 eV per formula unit
**SG**: No. 129
**E**: -0.2585 hartree per atom

Lattice parameters (Å, degrees): 3.8547 3.8547 8.4478 90.00 90.00 90.00
Atoms (fractional coordinates):
1 Pr 0.2500 0.2500 0.1585
2 Pr 0.7500 0.7500 0.8415
3 Co 0.2500 0.7500 0.5000
4 Co 0.7500 0.2500 0.5000
5 Si 0.2500 0.2500 0.6422
6 Si 0.7500 0.7500 0.3578
7 C 0.2500 0.2500 0.8587
8 C 0.7500 0.7500 0.1413



Entry 2:
Below is a relaxed structure of PrCo2SiC, with properties calculated at the PBE level.

**Formation energy from raw total energies**: -2.3 eV per formula unit
**SG**: No. 63
**E**: -0.2641 hartree per atom

Lattice parameters (Å, degrees): 5.6502 5.6502 6.8235 90.00 90.00 139.75
Atoms (fractional coordinates):
1 Pr 0.0558 0.9442 0.7500
2 Pr 0.9442 0.0558 0.2500
3 Co 0.3368 0.6632 0.5575
4 Co 0.3368 0.6632 0.9425
5 Co 0.6632 0.3368 0.0575
6 Co 0.6632 0.3368 0.4425
7 Si 0.2249 0.7751 0.2500
8 Si 0.7751 0.2249 0.7500
9 C 0.5000 0.5000 0.0000
10 C 0.5000 0.5000 0.5000